(a)
The following is a DFT calculation (PBE) of a relaxed structure of Sr2BeI2.

Lattice parameters (Å, degrees): 9.3155 9.3155 4.0805 90.00 90.00 90.00
Space group P4/mbm (No. 127)
Inequivalent atoms, fractional coordinates:
Sr 0.1689 0.3311 0.0000 x4
Be 0.0000 0.0000 0.5000 x2
I 0.1345 0.6345 0.5000 x4

## Properties
volume: 354.1 Å³/cell
mass density: 4108 kg/m3


(b)
The following is a DFT calculation (PBE) of a relaxed structure of Sr2BeI2.

Lattice parameters (Å, degrees): 6.3574 6.3574 10.1485 90.00 90.00 90.00
Space group I4/mmm (No. 139)
Inequivalent atoms, fractional coordinates:
Sr 0.0000 0.5000 0.2500 x4
Be 0.0000 0.0000 0.0000 x2
I 0.0000 0.0000 0.3233 x4

## Properties
volume: 410.2 Å³/cell
mass density: 3547 kg/m3


Energetically preferred structure: (a) | next structure: +0.057 eV/atom


(a)
The following is a DFT calculation (PBE) of a relaxed structure of SrBeI3.

Lattice parameters (Å, degrees): 5.4237 5.4237 5.4237 90.00 90.00 90.00
Space group Pm-3m (No. 221)
Inequivalent atoms, fractional coordinates:
Sr 0.0000 0.0000 0.0000 x1
Be 0.5000 0.5000 0.5000 x1
I 0.0000 0.5000 0.5000 x3

## Properties
volume: 159.5 Å³/cell
mass density: 4968 kg/m3


(b)
The following is a DFT calculation (PBE) of a relaxed structure of SrBeI3.

Lattice parameters (Å, degrees): 6.4156 6.4156 6.4156 90.00 90.00 90.00
Space group Pm-3m (No. 221)
Inequivalent atoms, fractional coordinates:
Sr 0.0000 0.0000 0.0000 x1
Be 0.5000 0.5000 0.5000 x1
I 0.0000 0.0000 0.5000 x3

## Properties
volume: 264.1 Å³/cell
mass density: 3002 kg/m3


Energetically preferred structure: (a) | next structure: +0.443 eV/atom


(a)
The following is a DFT calculation (PBE) of a relaxed structure of SrBeTeI2.

Lattice parameters (Å, degrees): 6.3807 6.3807 6.6314 90.00 90.00 90.00
Space group P4/mmm (No. 123)
Inequivalent atoms, fractional coordinates:
Sr 0.0000 0.0000 0.0000 x1
Be 0.5000 0.5000 0.5000 x1
Te 0.0000 0.0000 0.5000 x1
I 0.0000 0.5000 0.0000 x2

## Properties
volume: 270.0 Å³/cell
mass density: 2940 kg/m3


(b)
The following is a DFT calculation (PBE) of a relaxed structure of SrBeTeI2.

Lattice parameters (Å, degrees): 5.3456 5.3456 5.4310 90.00 90.00 90.00
Space group P4/mmm (No. 123)
Inequivalent atoms, fractional coordinates:
Sr 0.0000 0.0000 0.0000 x1
Be 0.5000 0.5000 0.5000 x1
Te 0.5000 0.5000 0.0000 x1
I 0.0000 0.5000 0.5000 x2

## Properties
volume: 155.2 Å³/cell
mass density: 5115 kg/m3


Energetically preferred structure: (b) | next structure: +0.762 eV/atom


(a)
The following is a DFT calculation (PBE) of a relaxed structure of Ta2BeTcI.

Lattice parameters (Å, degrees): 4.3917 4.3917 4.6966 90.00 90.00 90.00
Space group P4/mmm (No. 123)
Inequivalent atoms, fractional coordinates:
Ta 0.0000 0.5000 0.0000 x2
Be 0.0000 0.0000 0.0000 x1
Tc 0.5000 0.5000 0.5000 x1
I 0.0000 0.0000 0.5000 x1

## Properties
volume: 90.6 Å³/cell
mass density: 10922 kg/m3


(b)
The following is a DFT calculation (PBE) of a relaxed structure of Ta2BeTcI.

Lattice parameters (Å, degrees): 4.6301 4.6301 4.1166 90.00 90.00 90.00
Space group P4/mmm (No. 123)
Inequivalent atoms, fractional coordinates:
Ta 0.0000 0.5000 0.0000 x2
Be 0.0000 0.0000 0.0000 x1
Tc 0.0000 0.0000 0.5000 x1
I 0.5000 0.5000 0.5000 x1

## Properties
volume: 88.3 Å³/cell
mass density: 11211 kg/m3


Energetically preferred structure: (b) | next structure: +0.399 eV/atom